[1]
This record from Alexandria via LeMat-Bulk describes an optimized crystal structure of Dy8Ho3Sc. The functional is PBE-GGA.

Structure (POSCAR):
```
Dy8Ho3Sc
1.0
6.625 0.000 -3.748
-2.120 6.276 -3.748
0.831 1.158 9.199
Dy Ho Sc
8 3 1
Cartesian
5.230 2.601 -2.408 Dy
1.867 2.601 -0.506 Dy
1.182 1.647 6.014 Dy
4.545 1.647 4.112 Dy
0.791 5.787 -2.408 Dy
4.154 5.787 -4.310 Dy
3.469 4.834 2.209 Dy
0.106 4.834 4.112 Dy
0.482 5.286 0.852 Ho
2.252 3.138 -3.748 Ho
4.854 2.148 0.852 Ho
0.000 0.000 0.000 Sc
```

Calculated values
**N(E_F)**: 14.5 states/eV/f.u.
**DFT formation energy**: 832 kJ/mol of formula units
**Total energy**: -4.02 eV/atom

=====

[2]
This record from Alexandria via LeMat-Bulk describes an optimized crystal structure of Dy5Ho8Sc. The functional is PBE-GGA.

Structure (POSCAR):
```
Dy5Ho8Sc
1.0
-3.558 0.564 7.553
3.794 -6.779 3.101
4.708 6.897 -3.608
Dy Ho Sc
5 8 1
Cartesian
-2.326 -0.759 7.919 Dy
1.442 1.922 -0.611 Dy
2.930 -0.388 6.174 Dy
1.480 4.076 1.665 Dy
2.782 -5.590 5.191 Dy
6.800 2.615 -1.550 Ho
0.109 3.598 4.747 Ho
-0.053 0.421 5.705 Ho
0.324 -3.131 6.681 Ho
4.460 4.984 -0.116 Ho
5.415 0.556 4.199 Ho
2.296 1.045 2.988 Ho
4.735 -1.386 1.513 Ho
4.383 1.780 0.473 Sc
```

Calculated values
**N(E_F)**: 17.2 states/eV/f.u.
**DFT formation energy**: 203 kJ/mol of formula units
**Total energy**: -4.56 eV/atom

=====

[3]
This record from Alexandria via LeMat-Bulk describes an optimized crystal structure of Dy4Ho6Sc. The functional is PBE-GGA.

Structure (POSCAR):
```
Dy4Ho6Sc
1.0
-0.440 5.854 -2.699
-6.445 -0.339 0.316
3.632 0.796 8.870
Dy Ho Sc
4 6 1
Cartesian
-1.786 0.621 6.596 Dy
-5.599 5.474 0.093 Dy
2.064 4.591 4.663 Dy
-1.185 1.938 1.621 Dy
-2.266 5.114 0.864 Ho
-4.490 2.821 1.980 Ho
-1.150 3.366 4.623 Ho
-3.222 -0.169 0.158 Ho
1.400 1.323 5.506 Ho
-0.220 2.927 -1.349 Ho
-3.442 2.758 -1.192 Sc
```

Calculated values
**N(E_F)**: 12.8 states/eV/f.u.
**DFT formation energy**: 314 kJ/mol of formula units
**Energy relative to the lowest polymorph listed for this composition**: 0.158 eV per atom
**Total energy**: -4.45 eV/atom

=====

[4]
This record from Alexandria via LeMat-Bulk describes an optimized crystal structure of Dy2HoSc5. The functional is PBE-GGA.

Structure (POSCAR):
```
Dy2HoSc5
1.0
6.701 0.013 0.018
-3.288 5.838 -0.018
-3.288 -2.003 5.484
Dy Ho Sc
2 1 5
Cartesian
-0.120 0.070 4.269 Dy
-0.120 3.991 1.518 Dy
-5.118 2.985 4.254 Ho
-1.766 2.988 4.259 Sc
-3.471 3.983 1.511 Sc
-3.471 0.066 4.259 Sc
1.525 1.073 1.529 Sc
-1.824 1.064 1.516 Sc
```

Calculated values
**N(E_F)**: 15.6 states/eV/f.u.
**DFT formation energy**: 45 kJ/mol of formula units
**Energy relative to the lowest polymorph listed for this composition**: 0.035 eV per atom
**Total energy**: -5.62 eV/atom

=====

[5]
This record from Alexandria via LeMat-Bulk describes an optimized crystal structure of Dy2Ho5Sc2. The functional is PBE-GGA.

Structure (POSCAR):
```
Dy2Ho5Sc2
1.0
11.563 0.000 0.000
0.000 6.404 0.000
-5.782 -3.202 7.350
Dy Ho Sc
4 10 4
Cartesian
0.000 6.143 0.000 Dy
5.782 2.941 0.000 Dy
-0.046 0.383 3.675 Dy
5.828 3.585 3.675 Dy
-2.432 2.038 6.511 Ho
8.214 5.240 0.839 Ho
-3.350 -1.164 6.511 Ho
9.131 2.038 0.839 Ho
2.628 4.947 2.165 Ho
3.153 1.746 5.185 Ho
3.153 1.746 2.165 Ho
2.628 -1.456 5.185 Ho
-2.223 4.131 3.675 Ho
8.004 0.929 3.675 Ho
0.262 3.171 1.740 Sc
5.520 -0.031 5.610 Sc
5.520 -0.031 1.740 Sc
0.262 3.171 5.610 Sc
```

Calculated values
**N(E_F)**: 12.2 states/eV/f.u.
**DFT formation energy**: 229 kJ/mol of formula units
**Energy relative to the lowest polymorph listed for this composition**: 0.158 eV per atom
**Total energy**: -4.71 eV/atom

=====

[6]
This record from Alexandria via LeMat-Bulk describes an optimized crystal structure of Dy6HoSc2. The functional is PBE-GGA.

Structure (POSCAR):
```
Dy6HoSc2
1.0
-5.312 2.573 -2.742
-3.945 -7.628 -3.533
-5.993 -0.557 7.071
Dy Ho Sc
12 2 4
Cartesian
-7.063 -3.606 -1.223 Dy
-4.941 -5.329 0.336 Dy
-8.187 -2.006 2.019 Dy
-10.309 -0.283 0.460 Dy
-6.867 1.252 1.072 Dy
-11.882 -2.667 2.717 Dy
-8.383 -6.864 -0.276 Dy
-3.368 -2.945 -1.921 Dy
-10.600 -5.770 3.174 Dy
-2.352 0.109 0.847 Dy
-4.650 0.158 -2.378 Dy
-12.898 -5.720 -0.051 Dy
-7.035 -0.902 4.903 Ho
-8.215 -4.710 -4.107 Ho
-7.507 -5.055 2.363 Sc
-5.203 -1.445 0.401 Sc
-7.744 -0.557 -1.567 Sc
-10.047 -4.166 0.395 Sc
```

Calculated values
**N(E_F)**: 9.9 states/eV/f.u.
**DFT formation energy**: 117 kJ/mol of formula units
**Energy relative to the lowest polymorph listed for this composition**: 0.058 eV per atom
**Total energy**: -4.85 eV/atom

=====

[7]
This record from Alexandria via LeMat-Bulk describes an optimized crystal structure of Dy5Ho5Sc. The functional is PBE-GGA.

Structure (POSCAR):
```
Dy5Ho5Sc
1.0
5.998 0.000 0.000
-2.999 5.195 0.000
0.000 0.000 11.391
Dy Ho Sc
5 5 1
Cartesian
1.516 0.876 5.695 Dy
0.000 0.000 3.007 Dy
2.999 3.443 5.695 Dy
4.482 0.876 5.695 Dy
0.000 0.000 8.383 Dy
2.999 1.732 1.781 Ho
2.999 1.732 9.609 Ho
0.000 3.463 3.527 Ho
0.000 3.463 7.863 Ho
0.000 0.000 0.000 Ho
0.000 3.463 0.000 Sc
```

Calculated values
**N(E_F)**: 20.5 states/eV/f.u.
**DFT formation energy**: 389 kJ/mol of formula units
**Total energy**: -4.38 eV/atom

=====

[8]
This record from Alexandria via LeMat-Bulk describes an optimized crystal structure of Dy6Ho4Sc. The functional is PBE-GGA.

Structure (POSCAR):
```
Dy6Ho4Sc
1.0
-3.958 1.351 3.737
-0.649 -4.377 -3.313
11.302 -14.780 17.311
Dy Ho Sc
12 8 2
Cartesian
-1.979 0.675 1.869 Dy
3.672 -6.714 10.524 Dy
2.814 -5.772 5.066 Dy
3.882 -12.034 12.669 Dy
5.399 -14.018 14.993 Dy
1.296 -3.788 2.742 Dy
0.819 -7.454 7.770 Dy
5.877 -10.352 9.965 Dy
9.113 -14.584 14.922 Dy
-2.417 -3.222 2.813 Dy
0.293 -7.263 2.935 Dy
6.403 -10.543 14.800 Dy
2.369 -9.886 10.291 Ho
-1.124 -5.321 0.733 Ho
4.326 -7.920 7.444 Ho
7.819 -12.485 17.001 Ho
7.037 -15.989 17.439 Ho
-0.341 -1.817 0.296 Ho
4.921 -8.694 12.562 Ho
1.775 -9.112 5.173 Ho
-0.817 -5.363 5.282 Sc
7.512 -12.443 12.453 Sc
```

Calculated values
**N(E_F)**: 19.4 states/eV/f.u.
**DFT formation energy**: 146 kJ/mol of formula units
**Energy relative to the lowest polymorph listed for this composition**: 0.000 eV per atom
**Total energy**: -4.61 eV/atom